YCrSN2 after structural relaxation. Source: Alexandria via LeMat-Bulk, functional GGA-PBE.

E above lowest polymorph	1360.9	meV per atom
mass density	3.24	g/cm³
formation energy from raw total energies	817	meV/atom

```
data_YCrSN2
_symmetry_space_group_name_H-M 'P 4/m m m'
_symmetry_Int_Tables_number 123
_symmetry_space_group_name_Hall '-P 4 2'
_cell_length_a 4.384
_cell_length_b 4.384
_cell_length_c 5.355
_cell_angle_alpha 90.00
_cell_angle_beta 90.00
_cell_angle_gamma 90.00
loop_
_atom_site_label
_atom_site_type_symbol
_atom_site_fract_x
_atom_site_fract_y
_atom_site_fract_z
Y1 Y 0.000 0.000 0.000
Cr1 Cr 0.500 0.500 0.500
S1 S 0.000 0.000 0.500
N1 N 0.000 0.500 0.000
```

---

ZnCrS2N after structural relaxation. Source: Alexandria via LeMat-Bulk, functional GGA-PBE.

E above lowest polymorph	1139.7	meV per atom
mass density	3.90	g/cm³
formation energy from raw total energies	1308	meV/atom

```
data_ZnCrS2N
_symmetry_space_group_name_H-M 'P 4/m m m'
_symmetry_Int_Tables_number 123
_symmetry_space_group_name_Hall '-P 4 2'
_cell_length_a 4.789
_cell_length_b 4.789
_cell_length_c 3.631
_cell_angle_alpha 90.00
_cell_angle_beta 90.00
_cell_angle_gamma 90.00
loop_
_atom_site_label
_atom_site_type_symbol
_atom_site_fract_x
_atom_site_fract_y
_atom_site_fract_z
Zn1 Zn 0.000 0.000 0.000
Cr1 Cr 0.500 0.500 0.500
S1 S 0.000 0.500 0.000
N1 N 0.000 0.000 0.500
```

---

ZnCrS2N after structural relaxation. Source: Alexandria via LeMat-Bulk, functional GGA-PBE.

E above lowest polymorph	0.0	meV per atom
mass density	4.23	g/cm³
formation energy from raw total energies	169	meV/atom

```
data_ZnCrS2N
_symmetry_space_group_name_H-M 'P 4/m m m'
_symmetry_Int_Tables_number 123
_symmetry_space_group_name_Hall '-P 4 2'
_cell_length_a 4.676
_cell_length_b 4.676
_cell_length_c 3.508
_cell_angle_alpha 90.00
_cell_angle_beta 90.00
_cell_angle_gamma 90.00
loop_
_atom_site_label
_atom_site_type_symbol
_atom_site_fract_x
_atom_site_fract_y
_atom_site_fract_z
Zn1 Zn 0.000 0.000 0.000
Cr1 Cr 0.500 0.500 0.500
S1 S 0.000 0.500 0.500
N1 N 0.500 0.500 0.000
```

---

ZrCrSN2 after structural relaxation. Source: Alexandria via LeMat-Bulk, functional GGA-PBE.

E above lowest polymorph	548.8	meV per atom
mass density	3.80	g/cm³
formation energy from raw total energies	396	meV/atom

```
data_ZrCrSN2
_symmetry_space_group_name_H-M 'P 4/m m m'
_symmetry_Int_Tables_number 123
_symmetry_space_group_name_Hall '-P 4 2'
_cell_length_a 4.105
_cell_length_b 4.105
_cell_length_c 5.269
_cell_angle_alpha 90.00
_cell_angle_beta 90.00
_cell_angle_gamma 90.00
loop_
_atom_site_label
_atom_site_type_symbol
_atom_site_fract_x
_atom_site_fract_y
_atom_site_fract_z
Zr1 Zr 0.000 0.000 0.000
Cr1 Cr 0.500 0.500 0.500
S1 S 0.000 0.000 0.500
N1 N 0.000 0.500 0.000
```

---

ZrCrSN2 after structural relaxation. Source: Alexandria via LeMat-Bulk, functional GGA-PBE.

E above lowest polymorph	0.0	meV per atom
mass density	5.31	g/cm³
formation energy from raw total energies	-153	meV/atom

```
data_ZrCrSN2
_symmetry_space_group_name_H-M 'P 4/m m m'
_symmetry_Int_Tables_number 123
_symmetry_space_group_name_Hall '-P 4 2'
_cell_length_a 3.719
_cell_length_b 3.719
_cell_length_c 4.597
_cell_angle_alpha 90.00
_cell_angle_beta 90.00
_cell_angle_gamma 90.00
loop_
_atom_site_label
_atom_site_type_symbol
_atom_site_fract_x
_atom_site_fract_y
_atom_site_fract_z
Zr1 Zr 0.000 0.000 0.000
Cr1 Cr 0.500 0.500 0.500
S1 S 0.500 0.500 0.000
N1 N 0.000 0.500 0.500
```

---

Cr3SbN after structural relaxation. Source: Alexandria via LeMat-Bulk, functional GGA-PBE.

mass density	7.93	g/cm³
formation energy from raw total energies	-117	meV/atom

```
data_Cr3SbN
_symmetry_space_group_name_H-M 'P m -3 m'
_symmetry_Int_Tables_number 221
_symmetry_space_group_name_Hall '-P 4 2 3'
_cell_length_a 3.939
_cell_length_b 3.939
_cell_length_c 3.939
_cell_angle_alpha 90.00
_cell_angle_beta 90.00
_cell_angle_gamma 90.00
loop_
_atom_site_label
_atom_site_type_symbol
_atom_site_fract_x
_atom_site_fract_y
_atom_site_fract_z
Cr1 Cr 0.000 0.000 0.500
Sb1 Sb 0.500 0.500 0.500
N1 N 0.000 0.000 0.000
```

---

CrSb3N after structural relaxation. Source: Alexandria via LeMat-Bulk, functional GGA-PBE.

E above lowest polymorph	245.8	meV per atom
mass density	6.00	g/cm³
formation energy from raw total energies	1260	meV/atom

```
data_CrSb3N
_symmetry_space_group_name_H-M 'P m -3 m'
_symmetry_Int_Tables_number 221
_symmetry_space_group_name_Hall '-P 4 2 3'
_cell_length_a 4.925
_cell_length_b 4.925
_cell_length_c 4.925
_cell_angle_alpha 90.00
_cell_angle_beta 90.00
_cell_angle_gamma 90.00
loop_
_atom_site_label
_atom_site_type_symbol
_atom_site_fract_x
_atom_site_fract_y
_atom_site_fract_z
Cr1 Cr 0.000 0.000 0.000
Sb1 Sb 0.000 0.000 0.500
N1 N 0.500 0.500 0.500
```

---

CrSbN2 after structural relaxation. Source: Alexandria via LeMat-Bulk, functional GGA-PBE.

mass density	6.55	g/cm³
formation energy from raw total energies	163	meV/atom

```
data_CrSbN2
_symmetry_space_group_name_H-M 'R -3 m'
_symmetry_Int_Tables_number 166
_symmetry_space_group_name_Hall '-R 3 2"'
_cell_length_a 3.0435
_cell_length_b 3.0435
_cell_length_c 19.1208
_cell_angle_alpha 90.00
_cell_angle_beta 90.00
_cell_angle_gamma 120.00
loop_
_atom_site_label
_atom_site_type_symbol
_atom_site_fract_x
_atom_site_fract_y
_atom_site_fract_z
Cr1 Cr 0.0000 0.0000 0.0000
Sb1 Sb 0.0000 0.0000 0.5000
N1 N 0.0000 0.0000 0.3855
```

---

Cr2SbN after structural relaxation. Source: Alexandria via LeMat-Bulk, functional GGA-PBE.

E above lowest polymorph	1074.2	meV per atom
mass density	7.29	g/cm³
formation energy from raw total energies	1033	meV/atom

```
data_Cr2SbN
_symmetry_space_group_name_H-M 'F m -3 m'
_symmetry_Int_Tables_number 225
_symmetry_space_group_name_Hall '-F 4 2 3'
_cell_length_a 6.023
_cell_length_b 6.023
_cell_length_c 6.023
_cell_angle_alpha 90.00
_cell_angle_beta 90.00
_cell_angle_gamma 90.00
loop_
_atom_site_label
_atom_site_type_symbol
_atom_site_fract_x
_atom_site_fract_y
_atom_site_fract_z
Cr1 Cr 0.250 0.250 0.250
Sb1 Sb 0.000 0.000 0.000
N1 N 0.000 0.000 0.500
```

---

Cr2SbN after structural relaxation. Source: Alexandria via LeMat-Bulk, functional GGA-PBE.

E above lowest polymorph	0.0	meV per atom
mass density	6.79	g/cm³
formation energy from raw total energies	-41	meV/atom

```
data_Cr2SbN
_symmetry_space_group_name_H-M 'I -4 2 d'
_symmetry_Int_Tables_number 122
_symmetry_space_group_name_Hall 'I -4 2bw'
_cell_length_a 6.155
_cell_length_b 6.155
_cell_length_c 6.195
_cell_angle_alpha 90.00
_cell_angle_beta 90.00
_cell_angle_gamma 90.00
loop_
_atom_site_label
_atom_site_type_symbol
_atom_site_fract_x
_atom_site_fract_y
_atom_site_fract_z
Cr1 Cr 0.124 0.750 0.125
Sb1 Sb 0.000 0.000 0.500
N1 N 0.000 0.000 0.000
```

---

CrSbN3 after structural relaxation. Source: Alexandria via LeMat-Bulk, functional GGA-PBE.

mass density	6.61	g/cm³
formation energy from raw total energies	730	meV/atom

```
data_CrSbN3
_symmetry_space_group_name_H-M 'P m -3 m'
_symmetry_Int_Tables_number 221
_symmetry_space_group_name_Hall '-P 4 2 3'
_cell_length_a 3.784
_cell_length_b 3.784
_cell_length_c 3.784
_cell_angle_alpha 90.00
_cell_angle_beta 90.00
_cell_angle_gamma 90.00
loop_
_atom_site_label
_atom_site_type_symbol
_atom_site_fract_x
_atom_site_fract_y
_atom_site_fract_z
Cr1 Cr 0.000 0.000 0.000
Sb1 Sb 0.500 0.500 0.500
N1 N 0.000 0.000 0.500
```

---

CrSbN3 after structural relaxation. Source: Alexandria via LeMat-Bulk, functional GGA-PBE.

mass density	5.60	g/cm³
formation energy from raw total energies	1452	meV/atom

```
data_CrSbN3
_symmetry_space_group_name_H-M 'P m -3 m'
_symmetry_Int_Tables_number 221
_symmetry_space_group_name_Hall '-P 4 2 3'
_cell_length_a 3.999
_cell_length_b 3.999
_cell_length_c 3.999
_cell_angle_alpha 90.00
_cell_angle_beta 90.00
_cell_angle_gamma 90.00
loop_
_atom_site_label
_atom_site_type_symbol
_atom_site_fract_x
_atom_site_fract_y
_atom_site_fract_z
Cr1 Cr 0.000 0.000 0.000
Sb1 Sb 0.500 0.500 0.500
N1 N 0.000 0.500 0.500
```

---

mass density of number 6 (Cr3SbN)?
7.93 g/cm³

---

Which formula does entry 1 have?
YCrSN2

---

Number 10 is which compound?
Cr2SbN